# 1
Below is Sm4Y3Th2 after structural relaxation, with properties calculated at the PBE level.

Computed properties:
As for the energy above the most stable polymorph in this dataset: 0.40 eV per formula unit. Its space-group type is C2/c. For the size of the total moment, the calculation gives 0.00 μB/cell. The calculation puts the energy of formation from the pure elements at 120 meV per atom.

a = 10.081 Å, b = 10.081 Å, c = 6.194 Å
α = 96.12°, β = 96.12°, γ = 71.89°
Positions (direct):
Sm 0.087 0.812 0.983
Sm 0.151 0.418 0.152
Sm 0.188 0.913 0.517
Sm 0.418 0.151 0.652
Sm 0.582 0.849 0.348
Sm 0.812 0.087 0.483
Sm 0.849 0.582 0.848
Sm 0.913 0.188 0.017
Y 0.060 0.278 0.582
Y 0.278 0.060 0.082
Y 0.392 0.608 0.250
Y 0.608 0.392 0.750
Y 0.722 0.940 0.918
Y 0.940 0.722 0.418
Th 0.252 0.529 0.690
Th 0.471 0.748 0.810
Th 0.529 0.252 0.190
Th 0.748 0.471 0.310

# 2
Below is Sm7Y2Th2 after structural relaxation, with properties calculated at the PBE level.

Computed properties:
As for the energy above the most stable polymorph in this dataset: 0.11 eV per formula unit. Its space-group type is C2/m. For the size of the total moment, the calculation gives 0.00 μB/cell. The calculation puts the energy of formation from the pure elements at 185 meV per atom.

a = 8.160 Å, b = 8.160 Å, c = 6.046 Å
α = 105.68°, β = 105.68°, γ = 90.33°
Positions (direct):
Sm 0.000 0.000 0.000
Sm 0.049 0.593 0.830
Sm 0.407 0.951 0.170
Sm 0.424 0.424 0.201
Sm 0.576 0.576 0.799
Sm 0.593 0.049 0.830
Sm 0.951 0.407 0.170
Y 0.226 0.226 0.597
Y 0.774 0.774 0.403
Th 0.216 0.784 0.500
Th 0.784 0.216 0.500

# 3
Below is Sm5Y8Th after structural relaxation, with properties calculated at the PBE level.

Computed properties:
Its space-group type is I-4. For the size of the total moment, the calculation gives 1.27 μB/cell. The calculation puts the energy of formation from the pure elements at 275 meV per atom.

a = 8.518 Å, b = 8.518 Å, c = 8.518 Å
α = 110.64°, β = 110.64°, γ = 107.15°
Positions (direct):
Sm 0.000 0.000 0.000
Sm 0.204 0.306 0.671
Sm 0.467 0.796 0.102
Sm 0.635 0.533 0.329
Sm 0.694 0.365 0.898
Y 0.165 0.427 0.088
Y 0.339 0.077 0.912
Y 0.416 0.160 0.397
Y 0.573 0.661 0.738
Y 0.763 0.019 0.603
Y 0.840 0.237 0.256
Y 0.923 0.835 0.262
Y 0.981 0.584 0.744
Th 0.250 0.750 0.500

# 4
Below is Sm4Y7Th after structural relaxation, with properties calculated at the PBE level.

Computed properties:
As for the energy above the most stable polymorph in this dataset: 2.52 eV per formula unit. Its space-group type is C2/m. For the size of the total moment, the calculation gives 0.00 μB/cell. The calculation puts the energy of formation from the pure elements at 304 meV per atom.

a = 6.796 Å, b = 6.796 Å, c = 12.850 Å
α = 115.19°, β = 115.19°, γ = 52.08°
Positions (direct):
Sm 0.141 0.141 0.277
Sm 0.268 0.268 0.829
Sm 0.732 0.732 0.171
Sm 0.859 0.859 0.723
Y 0.000 0.000 0.500
Y 0.132 0.132 0.997
Y 0.287 0.287 0.577
Y 0.435 0.435 0.183
Y 0.565 0.565 0.817
Y 0.713 0.713 0.423
Y 0.868 0.868 0.003
Th 0.500 0.500 0.500

# 5
Below is Sm8Y3Th3 after structural relaxation, with properties calculated at the PBE level.

Computed properties:
Its space-group type is Immm. For the size of the total moment, the calculation gives 0.00 μB/cell. The calculation puts the energy of formation from the pure elements at 164 meV per atom.

a = 9.720 Å, b = 9.720 Å, c = 9.720 Å
α = 145.50°, β = 113.39°, γ = 77.23°
Positions (direct):
Sm 0.062 0.397 0.665
Sm 0.066 0.224 0.842
Sm 0.267 0.603 0.665
Sm 0.382 0.224 0.158
Sm 0.618 0.776 0.842
Sm 0.733 0.397 0.335
Sm 0.934 0.776 0.158
Sm 0.938 0.603 0.335
Y 0.000 0.000 0.000
Y 0.314 0.000 0.314
Y 0.686 0.000 0.686
Th 0.314 0.814 0.500
Th 0.500 0.500 0.000
Th 0.686 0.186 0.500

# 6
Below is SmYTh2 after structural relaxation, with properties calculated at the PBE level.

Computed properties:
As for the energy above the most stable polymorph in this dataset: 0.14 eV per formula unit. Its space-group type is P4/mmm. For the size of the total moment, the calculation gives 0.00 μB/cell. The calculation puts the energy of formation from the pure elements at 64 meV per atom.

a = 5.022 Å, b = 5.022 Å, c = 5.168 Å
α = 90.00°, β = 90.00°, γ = 90.00°
Positions (direct):
Sm 0.000 0.000 0.000
Y 0.500 0.500 0.000
Th 0.000 0.500 0.500
Th 0.500 0.000 0.500